Here is crystalline Ac2Pm5YTm at its relaxed geometry from Alexandria via LeMat-Bulk. Energies are from PBE.

abc: 10.746 10.746 10.903
angles: 90.00 90.00 148.64
Sites, in units of the cell vectors:
Ac: 0.113 0.887 0.500
Ac: 0.117 0.883 0.082
Ac: 0.883 0.117 0.582
Ac: 0.887 0.113 0.000
Pm: 0.018 0.982 0.786
Pm: 0.280 0.720 0.077
Pm: 0.294 0.706 0.469
Pm: 0.385 0.615 0.786
Pm: 0.484 0.516 0.510
Pm: 0.516 0.484 0.010
Pm: 0.615 0.385 0.286
Pm: 0.706 0.294 0.969
Pm: 0.720 0.280 0.577
Pm: 0.982 0.018 0.286
Y: 0.406 0.594 0.234
Y: 0.594 0.406 0.734
Tm: 0.204 0.796 0.776
Tm: 0.796 0.204 0.276

Space group: No. 36
Calculated total energy in eV/atom: -4.626
V in Å³/cell: 655.2
E_form in kcal/mol of atoms: 3.266